A plane-wave DFT calculation with GGA-PBE was carried out for a relaxed structure of NbIn2Br6.

Computed properties:
Its volume is 625.5 Å³/cell. Its space group is P2_1/c (14). The calculation puts the polymorph energy (0 for the lowest one) at 0.0 meV/atom. The energy relative to the elements, uncorrected is -0.79 eV per atom. The total energy is -32.7 eV/f.u.

Cell and atoms, written as CIF:
```
data_NbIn2Br6
_cell_length_a 7.4248
_cell_length_b 8.1915
_cell_length_c 10.2918
_cell_angle_alpha 90.00
_cell_angle_beta 92.21
_cell_angle_gamma 90.00
_symmetry_space_group_name_H-M 'P 1'
_symmetry_Int_Tables_number 1
loop_
_symmetry_equiv_pos_as_xyz
'x,y,z'
loop_
_atom_site_label
_atom_site_fract_x
_atom_site_fract_y
_atom_site_fract_z
In1 0.0217 0.5995 0.2327
In2 0.5217 0.9005 0.7327
In3 0.4783 0.0995 0.2673
In4 0.9783 0.4005 0.7673
Br1 0.6012 0.4764 0.2437
Br2 0.8289 0.7328 0.5496
Br3 0.3988 0.5236 0.7563
Br4 0.1711 0.2672 0.4504
Br5 0.2113 0.3292 0.0449
Br6 0.1012 0.0236 0.7437
Br7 0.6711 0.2328 0.9504
Br8 0.2887 0.8292 0.4551
Br9 0.3289 0.7672 0.0496
Br10 0.7113 0.1708 0.5449
Br11 0.7887 0.6708 0.9551
Br12 0.8988 0.9764 0.2563
Nb1 0.0000 0.0000 0.5000
Nb2 0.5000 0.5000 0.0000
```